1.
Mn2AsRh after structural relaxation. Source: Alexandria via LeMat-Bulk, functional GGA-PBEsol.

Summary:
space-group type	No. 119
total energy	-8.306	eV/atom
energy relative to the elements	-0.11	eV/atom
total magnetization	0.056	μB per cell

abc: 3.716 3.716 4.587
angles: 113.89 113.89 90.00
Last column: magnetic moment on the atom in μB.
Fractional positions:
Mn1 0.000 0.000 0.000  2.83
Mn2 0.750 0.250 0.500  -2.81
Rh1 0.250 0.750 0.500  0.02
As1 0.500 0.500 0.000  0.00

---

2.
Mg2RePb after structural relaxation. Source: Alexandria via LeMat-Bulk, functional GGA-PBEsol.

Summary:
space-group type	No. 25
total energy	-4.691	eV/atom
energy relative to the elements	0.50	eV/atom
total magnetization	0.000	μB per cell

abc: 2.995 4.293 5.922
angles: 90.00 90.00 90.00
Fractional positions:
Pb1 0.000 0.000 0.512
Re1 0.500 0.500 0.768
Mg1 0.500 0.500 0.238
Mg2 0.000 0.000 0.982

---

3.
Tl3CoTe after structural relaxation. Source: Alexandria via LeMat-Bulk, functional GGA-PBEsol.

Summary:
E_form (uncorrected)	1.225	eV per atom
space-group type	No. 221
total energy	-2.605	eV/atom
total magnetization	2.086	μB per cell

abc: 6.061 6.061 6.061
angles: 90.00 90.00 90.00
Last column: magnetic moment on the atom in μB.
Fractional positions:
Te1 0.000 0.000 0.000  0.00
Tl1 0.000 0.000 0.500  -0.01
Tl2 0.000 0.500 0.000  -0.01
Tl3 0.500 0.000 0.000  -0.01
Co1 0.500 0.500 0.500  2.18

---

4.
LiInF4 after structural relaxation. Source: Alexandria via LeMat-Bulk, functional GGA-PBEsol.

Summary:
E_form (uncorrected)	-2.685	eV per atom
space-group type	No. 60
total energy	-4.795	eV/atom
total magnetization	0.001	μB per cell

abc: 4.753 4.994 11.744
angles: 90.00 90.00 90.00
Fractional positions:
F1 0.273 0.916 0.309
F2 0.773 0.084 0.191
F3 0.764 0.069 0.944
F4 0.264 0.431 0.444
F5 0.727 0.584 0.309
F6 0.773 0.584 0.809
F7 0.227 0.916 0.809
F8 0.273 0.416 0.691
F9 0.227 0.416 0.191
F10 0.264 0.931 0.556
F11 0.764 0.569 0.056
F12 0.236 0.931 0.056
F13 0.236 0.431 0.944
F14 0.736 0.069 0.444
F15 0.736 0.569 0.556
F16 0.727 0.084 0.691
Li1 0.000 0.750 0.944
Li2 0.500 0.750 0.444
Li3 0.500 0.250 0.556
Li4 0.000 0.250 0.056
In1 0.000 0.750 0.668
In2 0.500 0.750 0.168
In3 0.500 0.250 0.832
In4 0.000 0.250 0.332

---

5.
Sr3TiGe after structural relaxation. Source: Alexandria via LeMat-Bulk, functional GGA-PBEsol.

Summary:
space-group type	No. 221
total energy	-2.878	eV/atom
energy relative to the elements	0.88	eV/atom
total magnetization	3.333	μB per cell

abc: 5.821 5.821 5.821
angles: 90.00 90.00 90.00
Last column: magnetic moment on the atom in μB.
Fractional positions:
Ti1 0.000 0.000 0.000  1.99
Sr1 0.000 0.000 0.500  0.13
Sr2 0.000 0.500 0.000  0.13
Sr3 0.500 0.000 0.000  0.13
Ge1 0.500 0.500 0.500  -0.10

---

6.
YMgAg4 after structural relaxation. Source: Alexandria via LeMat-Bulk, functional GGA-PBEsol.

Summary:
space-group type	No. 216
total energy	-3.869	eV/atom
energy relative to the elements	-0.24	eV/atom
total magnetization	0.000	μB per cell

abc: 5.489 5.489 5.489
angles: 60.00 60.00 60.00
Fractional positions:
Ag1 0.375 0.375 0.375
Ag2 0.375 0.874 0.375
Ag3 0.874 0.375 0.375
Ag4 0.375 0.375 0.874
Y1 0.000 0.000 0.000
Mg1 0.750 0.750 0.750

---

7.
YSnMo2N after structural relaxation. Source: Alexandria via LeMat-Bulk, functional GGA-PBEsol.

Summary:
E_form (uncorrected)	1.988	eV per atom
space-group type	No. 123
total energy	-6.641	eV/atom
total magnetization	1.382	μB per cell

abc: 4.019 5.012 5.012
angles: 90.00 90.00 90.00
Last column: magnetic moment on the atom in μB.
Fractional positions:
N1 0.500 0.000 0.000  0.02
Mo1 0.000 0.000 0.500  0.62
Mo2 0.000 0.500 0.000  0.62
Sn1 0.500 0.500 0.500  -0.03
Y1 0.000 0.000 0.000  0.06

---

8.
Zr2CuAu after structural relaxation. Source: Alexandria via LeMat-Bulk, functional GGA-PBEsol.

Summary:
space-group type	No. 139
total energy	-6.912	eV/atom
energy relative to the elements	-0.30	eV/atom
total magnetization	0.000	μB per cell

abc: 4.181 4.181 5.016
angles: 114.63 114.63 90.00
Fractional positions:
Zr1 0.250 0.750 0.500
Zr2 0.750 0.250 0.500
Au1 0.000 0.000 0.000
Cu1 0.500 0.500 0.000

---

9.
KRbFe2Rh after structural relaxation. Source: Alexandria via LeMat-Bulk, functional GGA-PBEsol.

Summary:
space-group type	No. 123
total energy	-3.164	eV/atom
energy relative to the elements	2.48	eV/atom
total magnetization	5.785	μB per cell

abc: 4.631 4.631 5.236
angles: 90.00 90.00 90.00
Last column: magnetic moment on the atom in μB.
Fractional positions:
Rh1 0.500 0.500 0.500  0.43
Rb1 0.000 0.000 0.500  -0.02
K1 0.000 0.000 0.000  -0.05
Fe1 0.000 0.500 0.000  2.77
Fe2 0.500 0.000 0.000  2.77

---

10.
K2YMg after structural relaxation. Source: Alexandria via LeMat-Bulk, functional GGA-PBEsol.

Summary:
space-group type	No. 65
total energy	-2.292	eV/atom
energy relative to the elements	0.41	eV/atom
total magnetization	0.000	μB per cell

abc: 3.558 3.558 13.397
angles: 90.00 90.00 113.75
Fractional positions:
K1 0.000 0.000 0.739
K2 0.000 0.000 0.261
Mg1 0.500 0.500 0.500
Y1 0.500 0.500 0.000

---

11.
TiZnAgP3O12 after structural relaxation. Source: Alexandria via LeMat-Bulk, functional GGA-PBEsol.

Summary:
E_form (uncorrected)	-1.902	eV per atom
space-group type	No. 161
total energy	-7.101	eV/atom
total magnetization	0.001	μB per cell

abc: 8.450 8.450 8.450
angles: 62.10 62.10 62.10
Fractional positions:
O1 0.308 0.495 0.123
O2 0.249 0.583 0.449
O3 0.970 0.176 0.408
O4 0.583 0.449 0.249
O5 0.899 0.257 0.073
O6 0.949 0.083 0.749
O7 0.623 0.995 0.808
O8 0.176 0.408 0.970
O9 0.470 0.908 0.676
O10 0.808 0.623 0.995
O11 0.757 0.399 0.573
O12 0.073 0.899 0.257
O13 0.123 0.308 0.495
O14 0.408 0.970 0.176
O15 0.573 0.757 0.399
O16 0.257 0.073 0.899
O17 0.908 0.676 0.470
O18 0.083 0.749 0.949
O19 0.495 0.123 0.308
O20 0.399 0.573 0.757
O21 0.676 0.470 0.908
O22 0.449 0.249 0.583
O23 0.749 0.949 0.083
O24 0.995 0.808 0.623
P1 0.555 0.952 0.244
P2 0.244 0.555 0.952
P3 0.952 0.244 0.555
P4 0.055 0.744 0.452
P5 0.744 0.452 0.055
P6 0.452 0.055 0.744
Ti1 0.356 0.356 0.356
Ti2 0.856 0.856 0.856
Zn1 0.005 0.005 0.005
Zn2 0.505 0.505 0.505
Ag1 0.148 0.148 0.148
Ag2 0.648 0.648 0.648

---

12.
Sr2MgZn after structural relaxation. Source: Alexandria via LeMat-Bulk, functional GGA-PBEsol.

Summary:
excess energy over the best structure of this formula in the dataset	176	meV/atom
space-group type	No. 119
total energy	-1.671	eV/atom
energy relative to the elements	0.07	eV/atom
total magnetization	0.001	μB per cell

abc: 4.880 4.880 6.408
angles: 112.38 112.38 90.00
Fractional positions:
Zn1 0.500 0.500 0.000
Sr1 0.750 0.250 0.500
Sr2 0.000 0.000 0.000
Mg1 0.250 0.750 0.500